## CeSmPBr (PBE)

Data for an optimized crystal structure of CeSmPBr.

Structure (POSCAR):
```
CeSmPBr
1.0
-0.6118 -2.4062 -3.1725
-0.1822 -1.5035 3.7333
-6.9029 3.6396 1.1282
Ce Sm Br P
1 1 1 1
direct
0.1070 0.9515 0.0737 Ce
0.4985 0.1472 0.6611 Sm
0.9702 0.3832 0.3684 Br
0.3022 0.5490 0.8666 P
```

Summary:
total energy = -5.856 eV per atom
D(E_F) = 6.5 states/eV/cell
SG = R3m (160)